(1)
Rb4LiCd3Br12 (GGA-PBE, relaxed); space-group type = Im-3m (229)
1.0
-5.5470 5.5470 5.5470
5.5470 -5.5470 5.5470
5.5470 5.5470 -5.5470
Rb Li Cd Br
4 1 3 12
Direct
0.0000 0.0000 0.5000 Rb
0.0000 0.5000 0.0000 Rb
0.5000 0.0000 0.0000 Rb
0.5000 0.5000 0.5000 Rb
0.0000 0.0000 0.0000 Li
0.0000 0.5000 0.5000 Cd
0.5000 0.0000 0.5000 Cd
0.5000 0.5000 0.0000 Cd
0.0000 0.2508 0.2508 Br
0.0000 0.7492 0.7492 Br
0.2500 0.5000 0.7500 Br
0.2500 0.7500 0.5000 Br
0.2508 0.0000 0.2508 Br
0.2508 0.2508 0.0000 Br
0.5000 0.2500 0.7500 Br
0.5000 0.7500 0.2500 Br
0.7492 0.0000 0.7492 Br
0.7492 0.7492 0.0000 Br
0.7500 0.2500 0.5000 Br
0.7500 0.5000 0.2500 Br



(2)
Cs2PaBe2Se6 (GGA-PBE, relaxed); space-group type = R-3m (166)
1.0
3.7589 2.1702 7.3430
-3.7589 2.1702 7.3430
0.0000 -4.3404 7.3430
Cs Pa Be Se
2 1 2 6
Direct
0.2238 0.2238 0.2238 Cs
0.7762 0.7762 0.7762 Cs
0.0000 0.0000 0.0000 Pa
0.4049 0.4049 0.4049 Be
0.5951 0.5951 0.5951 Be
0.2453 0.2453 0.7351 Se
0.2453 0.7351 0.2453 Se
0.2649 0.7547 0.7547 Se
0.7351 0.2453 0.2453 Se
0.7547 0.2649 0.7547 Se
0.7547 0.7547 0.2649 Se



One value per record, in order, for total magnetic moment: 0.0; 0.0 μB per cell.
One value per record, in order, for VASP energy: -52.29; -50.34 eV per cell.
One value per record, in order, for ΔE_f (raw): -1.18; -0.98 eV per atom.